Rb2CrF6 | PBE with a Hubbard U | optimized geometry

Summary:
- Theoretical density: 3.301 g/cm³
- Size of the total moment: 4.00 Bohr magnetons per cell
- E: -4.9784 eV per atom
- Crystal system: monoclinic
- Space group: P2_1/c, No. 14

Cell: 6.2358 7.8655 7.9286 Å, 90.00 119.34 90.00°
With the nearest neighbours (Å) after each atom.
Atoms (fractional coordinates):
Rb 0.1823 0.0664 0.3164  7 F 2.80-3.09
Rb 0.1823 0.4336 0.8164  7 F 2.80-3.09
Rb 0.8177 0.5664 0.1836  7 F 2.80-3.09
Rb 0.8177 0.9336 0.6836  7 F 2.80-3.09
Cr 0.5000 0.0000 0.0000  6 F 1.85-1.90
Cr 0.5000 0.5000 0.5000  6 F 1.85-1.90
F 0.2168 0.1107 0.9780  1 Cr 1.90
F 0.2168 0.3893 0.4780  1 Cr 1.90
F 0.3389 0.7069 0.4525  1 Cr 1.85
F 0.3389 0.7931 0.9525  1 Cr 1.85
F 0.3761 0.0288 0.7363  1 Cr 1.85
F 0.3761 0.4712 0.2363  1 Cr 1.85
F 0.6239 0.5288 0.7637  1 Cr 1.85
F 0.6239 0.9712 0.2637  1 Cr 1.85
F 0.6611 0.2069 0.0475  1 Cr 1.85
F 0.6611 0.2931 0.5475  1 Cr 1.85
F 0.7832 0.6107 0.5220  1 Cr 1.90
F 0.7832 0.8893 0.0220  1 Cr 1.90